Record 1
Crystalline ZnInIN2 at its relaxed geometry. Source: Alexandria via LeMat-Bulk, functional PBE-GGA.

Its crystal system is tetragonal. Its distance to the lowest polymorph of the same formula is 25.2 meV per atom. As for the uncorrected formation energy: 1.3703 eV per atom.

The structure belongs to space group P4/mmm (No. 123); the cell edges are 4.307, 4.307 and 5.807 Å and the angles 90.00°, 90.00° and 90.00°. The asymmetric unit holds Zn at (0.000, 0.000, 0.000), In at (0.500, 0.500, 0.500), I at (0.000, 0.000, 0.500) and N at (0.000, 0.500, 0.000).

---

Record 2
Crystalline Na2InI5 at its relaxed geometry. Source: Alexandria via LeMat-Bulk, functional PBE-GGA.

Its crystal system is orthorhombic. Its distance to the lowest polymorph of the same formula is 17.0 meV per atom. As for the uncorrected formation energy: -0.8212 eV per atom.

The structure belongs to space group Cmcm (No. 63); the cell edges are 6.343, 15.403 and 14.488 Å and the angles 90.00°, 90.00° and 90.00°. The asymmetric unit holds Na at (0.000, 0.170, 0.069), In at (0.000, 0.188, 0.750), I at (0.000, 0.056, 0.611), I at (0.000, 0.290, 0.250) and I at (0.000, 0.322, 0.604).